(1)
# LiYTa (GGA-PBEsol, optimized geometry)
# Uncorrected energy   -6.6567 eV/atom
# N(E_F)   2.41 states/eV/f.u.
# ΔE_f   1.37 eV per formula unit
# Energy above the lowest structure with this stoichiometry   0.000 eV per formula unit
data_LiYTa
_symmetry_space_group_name_H-M 'P 3 m 1'
_symmetry_Int_Tables_number 156
_symmetry_space_group_name_Hall 'P 3 -2"'
_cell_length_a 3.0762
_cell_length_b 3.0762
_cell_length_c 7.9335
_cell_angle_alpha 90.00
_cell_angle_beta 90.00
_cell_angle_gamma 120.00
loop_
_atom_site_label
_atom_site_type_symbol
_atom_site_fract_x
_atom_site_fract_y
_atom_site_fract_z
Li1 Li 0.0000 0.0000 0.0000
Y1 Y 0.6667 0.3333 0.3751
Ta1 Ta 0.3333 0.6667 0.6894

=====

(2)
# Li2TaZn (GGA-PBEsol, optimized geometry)
# Uncorrected energy   -4.2692 eV/atom
# N(E_F)   2.39 states/eV/f.u.
# ΔE_f   0.99 eV per formula unit
data_Li2TaZn
_symmetry_space_group_name_H-M 'P 1 2/m 1'
_symmetry_Int_Tables_number 10
_symmetry_space_group_name_Hall '-P 2y'
_cell_length_a 2.564
_cell_length_b 4.718
_cell_length_c 5.112
_cell_angle_alpha 90.00
_cell_angle_beta 93.11
_cell_angle_gamma 90.00
loop_
_atom_site_label
_atom_site_type_symbol
_atom_site_fract_x
_atom_site_fract_y
_atom_site_fract_z
Li1 Li 0.145 0.000 0.250
Ta1 Ta 0.500 0.500 0.000
Zn1 Zn 0.000 0.500 0.500

=====

(3)
# LiTa2Zn (GGA-PBEsol, optimized geometry)
# Uncorrected energy   -6.9441 eV/atom
# N(E_F)   2.85 states/eV/f.u.
# ΔE_f   0.87 eV per formula unit
data_LiTa2Zn
_symmetry_space_group_name_H-M 'P 1 m 1'
_symmetry_Int_Tables_number 6
_symmetry_space_group_name_Hall 'P -2y'
_cell_length_a 2.650
_cell_length_b 4.335
_cell_length_c 5.654
_cell_angle_alpha 90.00
_cell_angle_beta 103.47
_cell_angle_gamma 90.00
loop_
_atom_site_label
_atom_site_type_symbol
_atom_site_fract_x
_atom_site_fract_y
_atom_site_fract_z
Li1 Li 0.000 0.000 0.000
Ta1 Ta 0.258 0.000 0.516
Ta2 Ta 0.624 0.500 0.246
Zn1 Zn 0.885 0.500 0.767

=====

(4)
# Li2TaZn (GGA-PBEsol, optimized geometry)
# Uncorrected energy   -4.1379 eV/atom
# N(E_F)   3.41 states/eV/f.u.
# ΔE_f   1.51 eV per formula unit
data_Li2TaZn
_symmetry_space_group_name_H-M 'C m m m'
_symmetry_Int_Tables_number 65
_symmetry_space_group_name_Hall '-C 2 2'
_cell_length_a 5.464
_cell_length_b 9.473
_cell_length_c 2.516
_cell_angle_alpha 90.00
_cell_angle_beta 90.00
_cell_angle_gamma 90.00
loop_
_atom_site_label
_atom_site_type_symbol
_atom_site_fract_x
_atom_site_fract_y
_atom_site_fract_z
Li1 Li 0.250 0.250 0.000
Ta1 Ta 0.000 0.000 0.500
Zn1 Zn 0.000 0.500 0.500

=====

(5)
# Li2TaZn (GGA-PBEsol, optimized geometry)
# Uncorrected energy   -4.0881 eV/atom
# N(E_F)   4.79 states/eV/f.u.
# ΔE_f   1.71 eV per formula unit
data_Li2TaZn
_symmetry_space_group_name_H-M 'P 4/m m m'
_symmetry_Int_Tables_number 123
_symmetry_space_group_name_Hall '-P 4 2'
_cell_length_a 3.710
_cell_length_b 3.710
_cell_length_c 4.502
_cell_angle_alpha 90.00
_cell_angle_beta 90.00
_cell_angle_gamma 90.00
loop_
_atom_site_label
_atom_site_type_symbol
_atom_site_fract_x
_atom_site_fract_y
_atom_site_fract_z
Li1 Li 0.000 0.500 0.000
Ta1 Ta 0.000 0.000 0.500
Zn1 Zn 0.500 0.500 0.500

=====

(6)
# LiTaZn (GGA-PBEsol, optimized geometry)
# Uncorrected energy   -5.1910 eV/atom
# N(E_F)   1.63 states/eV/f.u.
# ΔE_f   0.53 eV per formula unit
# Energy above the lowest structure with this stoichiometry   0.000 eV per formula unit
data_LiTaZn
_symmetry_space_group_name_H-M 'F m m 2'
_symmetry_Int_Tables_number 42
_symmetry_space_group_name_Hall 'F 2 -2'
_cell_length_a 3.083
_cell_length_b 4.334
_cell_length_c 14.179
_cell_angle_alpha 90.00
_cell_angle_beta 90.00
_cell_angle_gamma 90.00
loop_
_atom_site_label
_atom_site_type_symbol
_atom_site_fract_x
_atom_site_fract_y
_atom_site_fract_z
Li1 Li 0.000 0.000 0.000
Ta1 Ta 0.000 0.000 0.679
Zn1 Zn 0.000 0.000 0.345

=====

(7)
# Li2TaZn (GGA-PBEsol, optimized geometry)
# Uncorrected energy   -4.2120 eV/atom
# N(E_F)   2.48 states/eV/f.u.
# ΔE_f   1.22 eV per formula unit
data_Li2TaZn
_symmetry_space_group_name_H-M 'C 1 m 1'
_symmetry_Int_Tables_number 8
_symmetry_space_group_name_Hall 'C -2y'
_cell_length_a 9.083
_cell_length_b 2.581
_cell_length_c 5.409
_cell_angle_alpha 90.00
_cell_angle_beta 96.17
_cell_angle_gamma 90.00
loop_
_atom_site_label
_atom_site_type_symbol
_atom_site_fract_x
_atom_site_fract_y
_atom_site_fract_z
Li1 Li 0.000 0.000 0.000
Li2 Li 0.242 0.000 0.787
Ta1 Ta 0.261 0.500 0.302
Zn1 Zn 0.006 0.500 0.519

=====

(8)
# LiTa2Zn (GGA-PBEsol, optimized geometry)
# Uncorrected energy   -6.9123 eV/atom
# N(E_F)   2.67 states/eV/f.u.
# ΔE_f   1.00 eV per formula unit
data_LiTa2Zn
_symmetry_space_group_name_H-M 'P m m m'
_symmetry_Int_Tables_number 47
_symmetry_space_group_name_Hall '-P 2 2'
_cell_length_a 3.088
_cell_length_b 4.345
_cell_length_c 4.753
_cell_angle_alpha 90.00
_cell_angle_beta 90.00
_cell_angle_gamma 90.00
loop_
_atom_site_label
_atom_site_type_symbol
_atom_site_fract_x
_atom_site_fract_y
_atom_site_fract_z
Li1 Li 0.000 0.000 0.000
Ta1 Ta 0.000 0.500 0.500
Ta2 Ta 0.500 0.000 0.500
Zn1 Zn 0.500 0.500 0.000

=====

(9)
# Li2TaZn (GGA-PBEsol, optimized geometry)
# Uncorrected energy   -4.1617 eV/atom
# N(E_F)   1.74 states/eV/f.u.
# ΔE_f   1.42 eV per formula unit
data_Li2TaZn
_symmetry_space_group_name_H-M 'I m m 2'
_symmetry_Int_Tables_number 44
_symmetry_space_group_name_Hall 'I 2 -2'
_cell_length_a 2.631
_cell_length_b 4.760
_cell_length_c 9.649
_cell_angle_alpha 90.00
_cell_angle_beta 90.00
_cell_angle_gamma 90.00
loop_
_atom_site_label
_atom_site_type_symbol
_atom_site_fract_x
_atom_site_fract_y
_atom_site_fract_z
Li1 Li 0.000 0.000 0.000
Li2 Li 0.000 0.500 0.252
Ta1 Ta 0.000 0.500 0.783
Zn1 Zn 0.000 0.000 0.535

=====

(10)
# LiTaZn (GGA-PBEsol, optimized geometry)
# Uncorrected energy   -4.5983 eV/atom
# N(E_F)   0.58 states/eV/f.u.
# ΔE_f   2.30 eV per formula unit
# Energy above the lowest structure with this stoichiometry   1.778 eV per formula unit
data_LiTaZn
_symmetry_space_group_name_H-M 'F -4 3 m'
_symmetry_Int_Tables_number 216
_symmetry_space_group_name_Hall 'F -4 2 3'
_cell_length_a 5.854
_cell_length_b 5.854
_cell_length_c 5.854
_cell_angle_alpha 90.00
_cell_angle_beta 90.00
_cell_angle_gamma 90.00
loop_
_atom_site_label
_atom_site_type_symbol
_atom_site_fract_x
_atom_site_fract_y
_atom_site_fract_z
Li1 Li 0.000 0.000 0.000
Ta1 Ta 0.000 0.000 0.500
Zn1 Zn 0.250 0.250 0.750

=====

(11)
# Li4ZrTa (GGA-PBEsol, optimized geometry)
# Uncorrected energy   -4.4043 eV/atom
# N(E_F)   4.81 states/eV/f.u.
# ΔE_f   3.08 eV per formula unit
data_Li4ZrTa
_symmetry_space_group_name_H-M 'F -4 3 m'
_symmetry_Int_Tables_number 216
_symmetry_space_group_name_Hall 'F -4 2 3'
_cell_length_a 7.333
_cell_length_b 7.333
_cell_length_c 7.333
_cell_angle_alpha 90.00
_cell_angle_beta 90.00
_cell_angle_gamma 90.00
loop_
_atom_site_label
_atom_site_type_symbol
_atom_site_fract_x
_atom_site_fract_y
_atom_site_fract_z
Li1 Li 0.124 0.124 0.376
Zr1 Zr 0.000 0.000 0.000
Ta1 Ta 0.250 0.250 0.750

=====

(12)
# Li3ZrTa (GGA-PBEsol, optimized geometry)
# Uncorrected energy   -3.9062 eV/atom
# N(E_F)   6.89 states/eV/f.u.
# ΔE_f   8.01 eV per formula unit
data_Li3ZrTa
_symmetry_space_group_name_H-M 'P m -3 m'
_symmetry_Int_Tables_number 221
_symmetry_space_group_name_Hall '-P 4 2 3'
_cell_length_a 4.618
_cell_length_b 4.618
_cell_length_c 4.618
_cell_angle_alpha 90.00
_cell_angle_beta 90.00
_cell_angle_gamma 90.00
loop_
_atom_site_label
_atom_site_type_symbol
_atom_site_fract_x
_atom_site_fract_y
_atom_site_fract_z
Li1 Li 0.000 0.000 0.500
Zr1 Zr 0.500 0.500 0.500
Ta1 Ta 0.000 0.000 0.000